Compound: Sm2Ge3Pd
Source: the Open Quantum Materials Database
Functional: PBE
Structure: relaxed

Unit cell a=8.5225 b=8.4729 c=5.9514 alpha=69.95 beta=69.06 gamma=40.99
Element x y z (fractional)
Ge 0.8321 0.8321 0.1679
Ge 0.3367 0.8308 0.1692
Ge 0.1692 0.6633 0.3367
Ge 0.8308 0.3367 0.6633
Ge 0.6633 0.1692 0.8308
Ge 0.1679 0.1679 0.8321
Pd 0.6670 0.6670 0.3330
Pd 0.3330 0.3330 0.6670
Sm 0.7544 0.2456 0.2456
Sm 0.2500 0.2500 0.2500
Sm 0.7500 0.7500 0.7500
Sm 0.2456 0.7544 0.7544

Results
The total DFT energy (no corrections) is -5.5877 eV/atom. The space-group type is No. 69.

=====

Compound: Sm6GePd2
Source: the Open Quantum Materials Database
Functional: PBE
Structure: relaxed

Unit cell a=7.8373 b=7.8373 c=4.5910 alpha=90.00 beta=90.00 gamma=120.00
Element x y z (fractional)
Ge 0.0000 0.0000 0.0000
Pd 0.6667 0.3333 0.5000
Pd 0.3333 0.6667 0.5000
Sm 0.3953 0.0000 0.0000
Sm 0.0000 0.3953 0.0000
Sm 0.6047 0.6047 0.0000
Sm 0.7320 0.0000 0.5000
Sm 0.2680 0.2680 0.5000
Sm 0.0000 0.7320 0.5000

Results
The total DFT energy (no corrections) is -5.3116 eV/atom. The space-group type is No. 189.

=====

Compound: SmGePd2
Source: the Open Quantum Materials Database
Functional: PBE
Structure: relaxed

Unit cell a=7.4935 b=7.1540 c=5.7084 alpha=90.00 beta=90.00 gamma=90.00
Element x y z (fractional)
Ge 0.3783 0.2500 0.1444
Ge 0.8783 0.2500 0.3556
Ge 0.1217 0.7500 0.6444
Ge 0.6217 0.7500 0.8556
Pd 0.6805 0.0524 0.0880
Pd 0.6805 0.4476 0.0880
Pd 0.1805 0.0524 0.4120
Pd 0.1805 0.4476 0.4120
Pd 0.8195 0.5524 0.5880
Pd 0.8195 0.9476 0.5880
Pd 0.3195 0.5524 0.9120
Pd 0.3195 0.9476 0.9120
Sm 0.9727 0.7500 0.1449
Sm 0.4727 0.7500 0.3551
Sm 0.5273 0.2500 0.6449
Sm 0.0273 0.2500 0.8551

Results
The total DFT energy (no corrections) is -5.8154 eV/atom. The space-group type is No. 62.

=====

Compound: Sm6Ge2Pd
Source: the Open Quantum Materials Database
Functional: PBE
Structure: relaxed

Unit cell a=8.0924 b=8.0924 c=4.2683 alpha=90.00 beta=90.00 gamma=120.00
Site moments in Bohr magnetons follow the coordinates.
Element x y z (fractional)
Ge 0.6667 0.3333 0.5000  0.00
Ge 0.3333 0.6667 0.5000  0.00
Pd 0.0000 0.0000 0.0000  0.01
Sm 0.4131 0.0000 0.0000  0.05
Sm 0.0000 0.4131 0.0000  0.06
Sm 0.5869 0.5869 0.0000  0.04
Sm 0.7419 0.0000 0.5000  0.03
Sm 0.2581 0.2581 0.5000  0.03
Sm 0.0000 0.7419 0.5000  0.04

Results
The total DFT energy (no corrections) is -5.3211 eV/atom. The space-group type is No. 189.

=====

Compound: Sm2Ge5Pd3
Source: the Open Quantum Materials Database
Functional: PBE
Structure: relaxed

Unit cell a=8.5056 b=8.5056 c=8.5056 alpha=105.72 beta=89.68 gamma=137.28
Element x y z (fractional)
Ge 0.2500 0.2500 0.0000
Ge 0.7500 0.7500 0.0000
Ge 0.3944 0.8432 0.2376
Ge 0.5253 0.2500 0.2753
Ge 0.0253 0.7500 0.2753
Ge 0.1056 0.3432 0.4488
Ge 0.8944 0.6568 0.5512
Ge 0.9747 0.2500 0.7247
Ge 0.4747 0.7500 0.7247
Ge 0.6056 0.1568 0.7624
Pd 0.6410 0.3896 0.0306
Pd 0.1410 0.1104 0.2514
Pd 0.7500 0.2500 0.5000
Pd 0.2500 0.7500 0.5000
Pd 0.8590 0.8896 0.7486
Pd 0.3590 0.6104 0.9694
Sm 0.8698 0.2304 0.1002
Sm 0.6302 0.7304 0.3605
Sm 0.3698 0.2696 0.6395
Sm 0.1302 0.7696 0.8998

Results
The total DFT energy (no corrections) is -5.5454 eV/atom. The space-group type is No. 72.

=====

Compound: Tb2SmGe4Pd4
Source: the Open Quantum Materials Database
Functional: PBE
Structure: relaxed

Unit cell a=8.1811 b=8.1811 c=8.1811 alpha=150.18 beta=128.20 gamma=60.92
Element x y z (fractional)
Ge 0.3126 0.0000 0.3126
Ge 0.7822 0.2822 0.5000
Ge 0.2178 0.7178 0.5000
Ge 0.6874 0.0000 0.6874
Pd 0.3766 0.1756 0.2011
Pd 0.0255 0.8244 0.2011
Pd 0.9745 0.1756 0.7989
Pd 0.6234 0.8244 0.7989
Sm 0.0000 0.5000 0.5000
Tb 0.3738 0.3738 0.0000
Tb 0.6262 0.6262 0.0000

Results
The total DFT energy (no corrections) is -5.7529 eV/atom. The space-group type is No. 71.

=====

Compound: SnGePd
Source: the Open Quantum Materials Database
Functional: PBE
Structure: relaxed

Unit cell a=4.4672 b=4.4672 c=4.4672 alpha=60.00 beta=60.00 gamma=60.00
Element x y z (fractional)
Ge 0.2500 0.2500 0.2500
Pd 0.0000 0.0000 0.0000
Sn 0.7500 0.7500 0.7500

Results
The total DFT energy (no corrections) is -4.8841 eV/atom. The space-group type is No. 216.

=====

Compound: SnGePd2
Source: the Open Quantum Materials Database
Functional: PBE
Structure: relaxed

Unit cell a=6.0167 b=3.8162 c=6.3861 alpha=90.00 beta=90.58 gamma=90.00
Element x y z (fractional)
Ge 0.6911 0.2500 0.4175
Ge 0.3089 0.7500 0.5825
Pd 0.5024 0.7500 0.2097
Pd 0.9840 0.7500 0.3247
Pd 0.0160 0.2500 0.6753
Pd 0.4976 0.2500 0.7903
Sn 0.1928 0.2500 0.0949
Sn 0.8072 0.7500 0.9051

Results
The total DFT energy (no corrections) is -5.2285 eV/atom. The space-group type is No. 11.